Entry 1:
DFT (GGA-PBE) results for crystalline Tm4GaIr at its relaxed geometry.

The structure in extended XYZ format:
```
12
Lattice="6.852 0.497 0.003 -0.501 6.852 0.003 -3.173 -3.671 6.730" Properties=species:S:1:pos:R:3 pbc="T T T"
Tm -0.126 1.805 6.732
Tm -0.379 5.227 0.003
Tm -0.212 1.708 3.367
Tm 3.139 5.396 3.368
Tm 0.039 -1.718 3.368
Tm 3.304 1.873 0.005
Tm 3.391 1.970 3.369
Tm 3.558 -1.548 6.734
Ir 5.141 0.373 1.686
Ir -1.962 3.305 5.051
Ga 1.715 0.127 5.051
Ga 1.463 3.551 1.686
```

Summary:
As for the density of states at the Fermi level: 11.97 states/eV per cell. As for the calculated formation energy: -0.50 eV per atom. For the energy above the most stable polymorph in this dataset, the calculation gives 121 meV per atom. The total energy is -5.463 eV per atom.

---

Entry 2:
DFT (GGA-PBE) results for crystalline YbEuMg2 at its relaxed geometry.

The structure in extended XYZ format:
```
4
Lattice="5.576 0.000 0.000 2.788 4.829 0.000 2.788 1.610 4.553" Properties=species:S:1:pos:R:3 pbc="T T T"
Eu 5.576 3.219 2.276
Mg 2.788 1.610 1.138
Mg 8.364 4.829 3.415
Yb 0.000 0.000 0.000
```

Summary:
As for the density of states at the Fermi level: 21.67 states/eV per cell. As for the calculated formation energy: -0.11 eV per atom. The total energy is -3.859 eV per atom.

---

Entry 3:
DFT (GGA-PBE) results for crystalline RuPtBr2 at its relaxed geometry.

The structure in extended XYZ format:
```
4
Lattice="-1.386 -2.334 3.952 2.832 -3.359 1.918 2.212 0.827 4.172" Properties=species:S:1:pos:R:3 pbc="T T T"
Pt 1.829 -2.433 5.021
Br 0.915 -1.216 2.511
Br 0.000 0.000 0.000
Ru 2.744 -3.649 7.532
```

Summary:
As for the density of states at the Fermi level: 4.52 states/eV per cell. For the energy above the most stable polymorph in this dataset, the calculation gives 916 meV per atom. The total energy is -3.594 eV per atom.